Below is a relaxed structure of CaScBi, with properties calculated at the GGA-PBE level.

Properties
DFT formation energy = -637 meV per atom
E_tot = -4.71 eV per atom

The structure in extended XYZ format:
```
6
Lattice="-1.924 -2.873 -2.960 -0.133 -3.222 3.213 -7.611 2.667 2.360" Properties=species:S:1:pos:R:3 pbc="T T T"
Ca -6.475 0.634 3.593
Ca -2.164 -1.015 -1.108
Bi -1.915 -0.963 2.180
Bi -6.724 0.582 0.306
Sc -4.834 -1.714 1.306
Sc -3.805 1.333 1.180
```

***

Below is a relaxed structure of LiGaSi, with properties calculated at the GGA-PBE level.

Properties
E_tot = -3.48 eV per atom
E_form (uncorrected) = -0.03 eV per atom

The structure in extended XYZ format:
```
12
Lattice="-5.383 -1.159 0.918 1.210 -2.624 3.783 -0.535 5.821 4.208" Properties=species:S:1:pos:R:3 pbc="T T T"
Si -3.176 0.101 2.583
Si -4.227 1.400 6.816
Si -1.532 1.938 6.326
Si -0.481 0.638 2.094
Ga -1.947 2.283 3.703
Ga 0.116 -1.684 3.288
Ga -2.761 -0.244 5.206
Ga -4.824 3.722 5.622
Li -2.195 4.418 5.264
Li -0.030 0.474 4.831
Li -2.513 -2.380 3.646
Li -4.678 1.565 4.079
```

***

Below is a relaxed structure of LaCo2, with properties calculated at the GGA-PBE level.

Properties
DFT formation energy = 879 meV per atom
E_tot = -5.50 eV per atom

The structure in extended XYZ format:
```
12
Lattice="-4.773 1.248 3.937 -2.827 -5.374 -1.723 3.011 -3.066 4.623" Properties=species:S:1:pos:R:3 pbc="T T T"
Co 0.541 -5.859 3.522
Co -1.815 -5.943 0.692
Co 0.519 -2.796 5.568
Co -1.838 -2.880 2.738
Co -2.751 -4.312 4.099
Co -5.107 -4.396 1.269
Co -2.774 -1.250 6.145
Co -5.130 -1.333 3.315
La 0.000 0.000 0.000
La 0.092 -4.220 1.450
La -0.881 -0.909 4.280
La -3.800 -2.063 1.107
```

***

Below is a relaxed structure of Pm2AlGa4Ni3, with properties calculated at the GGA-PBE level.

Properties
DFT formation energy = -576 meV per atom
E_tot = -4.85 eV per atom

The structure in extended XYZ format:
```
10
Lattice="4.119 0.000 0.000 0.000 4.119 0.000 0.000 0.000 10.365" Properties=species:S:1:pos:R:3 pbc="T T T"
Pm 2.059 0.000 2.496
Pm 0.000 2.059 7.869
Al 2.059 2.059 5.183
Ga 2.059 2.059 0.000
Ga 0.000 0.000 0.000
Ga 2.059 0.000 6.685
Ga 0.000 2.059 3.680
Ni 0.000 0.000 5.183
Ni 2.059 0.000 9.063
Ni 0.000 2.059 1.302
```

***

Below is a relaxed structure of YHo3Tc, with properties calculated at the GGA-PBE level.

Properties
Energy above the lowest structure with this stoichiometry = 162.8 meV per atom
DFT formation energy = 136 meV per atom
E_tot = -5.98 eV per atom

The structure in extended XYZ format:
```
5
Lattice="-3.101 3.689 -2.341 -4.185 -1.685 2.890 1.253 3.501 3.857" Properties=species:S:1:pos:R:3 pbc="T T T"
Y -3.017 2.753 2.202
Ho -2.093 -0.842 1.445
Ho 0.627 1.751 1.928
Ho -1.551 1.844 -1.171
Tc 0.000 0.000 0.000
```

***

Below is a relaxed structure of Mg2ReB, with properties calculated at the GGA-PBE level.

Properties
DFT formation energy = 668 meV per atom
E_tot = -4.91 eV per atom

The structure in extended XYZ format:
```
8
Lattice="7.541 0.000 0.000 0.000 7.541 0.000 3.771 3.771 2.188" Properties=species:S:1:pos:R:3 pbc="T T T"
Re 0.000 0.000 0.000
Re 7.541 3.771 1.094
Mg 4.927 1.885 0.547
Mg 2.614 5.656 0.547
Mg 5.656 6.384 1.641
Mg 9.426 8.698 1.641
B 3.771 3.771 0.000
B 3.771 7.541 1.094
```